No. 1
Zn2InAg8 | PBE | optimized geometry

Computed properties:
As for the energy above the most stable polymorph in this dataset: 71 meV/atom. Its symmetry is C2/m. For the formation enthalpy at 0 K, the calculation gives 0.58 eV per formula unit.

Cell lengths 4.875, 7.588, 7.160 Å; angles 58.00, 77.22, 65.33 degrees
Fractional positions:
Zn1 0.000 0.310 0.379
Zn2 0.000 0.690 0.621
In1 0.500 0.000 0.000
Ag1 0.883 0.087 0.238
Ag2 0.883 0.325 0.762
Ag3 0.315 0.402 0.000
Ag4 0.500 0.771 0.458
Ag5 0.500 0.229 0.542
Ag6 0.685 0.598 0.000
Ag7 0.117 0.675 0.238
Ag8 0.117 0.913 0.762

=====

No. 2
PmYNiIr | PBE | optimized geometry

Computed properties:
As for the energy above the most stable polymorph in this dataset: 0 meV/atom. Its symmetry is Amm2. For the formation enthalpy at 0 K, the calculation gives -2.34 eV per formula unit.

Cell lengths 3.942, 4.115, 5.722 Å; angles 90.00, 110.15, 90.00 degrees
Fractional positions:
Pm1 0.144 0.000 0.288
Y1 0.859 0.500 0.719
Ni1 0.573 0.500 0.145
Ir1 0.424 0.000 0.848

=====

No. 3
Nd2Er3Se8 | PBE | optimized geometry

Computed properties:
Its symmetry is C2/m. The raw formation energy is -1.728 eV/atom.

Cell lengths 7.023, 8.273, 8.325 Å; angles 119.79, 106.76, 90.00 degrees
Fractional positions:
Nd1 0.337 0.260 0.520
Nd2 0.663 0.740 0.480
Er1 0.500 0.000 0.000
Er2 0.000 0.261 0.000
Er3 0.000 0.739 0.000
Se1 0.928 0.621 0.241
Se2 0.072 0.379 0.759
Se3 0.919 0.114 0.228
Se4 0.081 0.886 0.772
Se5 0.589 0.644 0.762
Se6 0.589 0.118 0.762
Se7 0.411 0.882 0.238
Se8 0.411 0.356 0.238

=====

Number 1: V 18.55 A^3/atom, N(E_F) 3.34 states/eV/f.u.. Number 2: V 21.79 A^3/atom, N(E_F) 2.45 states/eV/f.u.. Number 3: V 30.45 A^3/atom, N(E_F) 6.41 states/eV/f.u..